{"formula": "Ac2TcPbO6", "functional": "PBE-GGA", "state": "relaxed", "sg": "P4mm", "total_magnetization_mub_per_atom": 0.10, "raw_formation_energy_ev_per_atom": -2.05, "volume_a3_per_atom": 18.1, "lattice_angstrom": [[5.412, 0.000, 0.000], [0.000, 5.778, 0.000], [0.000, 0.000, 5.778]], "species": ["O", "O", "O", "O", "Tc", "Ac", "Ac", "O", "Pb", "O"], "frac_coords": [[0.739, 0.773, 0.773], [0.739, 0.227, 0.773], [0.250, 0.000, 0.000], [0.739, 0.773, 0.227], [0.592, 0.000, 0.000], [0.996, 0.000, 0.500], [0.996, 0.500, 0.000], [0.739, 0.227, 0.227], [0.549, 0.500, 0.500], [0.110, 0.500, 0.500]]}


{"formula": "Dy8HoTl2", "functional": "PBE-GGA", "state": "relaxed", "sg": "C2/m", "total_magnetization_mub_per_atom": 0.00, "volume_a3_per_atom": 31.3, "ef_ev_per_atom": -0.002, "lattice_angstrom": [[5.557, -0.308, -0.462], [-1.381, 8.657, -0.705], [-1.381, -3.985, 7.717]], "species": ["Tl", "Dy", "Dy", "Dy", "Dy", "Ho", "Dy", "Dy", "Dy", "Tl", "Dy"], "frac_coords": [[0.000, 0.694, 0.306], [0.500, 0.783, 0.217], [0.882, 0.905, 0.678], [0.297, 0.599, 0.599], [0.882, 0.678, 0.905], [0.500, 0.000, 0.000], [0.703, 0.401, 0.401], [0.118, 0.095, 0.322], [0.118, 0.322, 0.095], [0.000, 0.306, 0.694], [0.500, 0.217, 0.783]]}


{"formula": "PaAlGaAg", "functional": "PBE-GGA", "state": "relaxed", "sg": "F-43m", "total_magnetization_mub_per_atom": 0.00, "volume_a3_per_atom": 20.1, "ef_ev_per_atom": -0.055, "lattice_angstrom": [[-1.215, 1.764, 4.345], [2.273, -1.578, 3.976], [3.052, 2.925, 2.367]], "species": ["Al", "Ag", "Pa", "Ga"], "frac_coords": [[0.500, 0.500, 0.500], [0.250, 0.250, 0.250], [0.000, 0.000, 0.000], [0.750, 0.750, 0.750]]}


{"formula": "NbFeNiAu", "functional": "PBE-GGA", "state": "relaxed", "sg": "F-43m", "total_magnetization_mub_per_atom": 0.50, "volume_a3_per_atom": 14.5, "ef_ev_per_atom": -0.003, "lattice_angstrom": [[-0.430, 4.238, -0.845], [-0.808, 1.335, -4.053], [-3.897, 1.627, -1.014]], "species": ["Fe", "Au", "Ni", "Nb"], "frac_coords": [[0.750, 0.750, 0.750], [0.500, 0.500, 0.500], [0.250, 0.250, 0.250], [0.000, 0.000, 0.000]]}


{"formula": "CdIrF6", "functional": "PBE-GGA", "state": "relaxed", "sg": "C2/m", "total_magnetization_mub_per_atom": 0.13, "raw_formation_energy_ev_per_atom": -1.72, "volume_a3_per_atom": 15.6, "lattice_angstrom": [[-4.313, -1.058, -2.587], [1.924, -3.843, 2.819], [-2.338, 2.645, 4.060]], "species": ["Ir", "Cd", "F", "F", "F", "F", "F", "F"], "frac_coords": [[0.500, 0.500, 0.500], [0.000, 0.000, 0.000], [0.856, 0.562, 0.736], [0.144, 0.438, 0.264], [0.562, 0.856, 0.736], [0.748, 0.748, 0.290], [0.438, 0.144, 0.264], [0.252, 0.252, 0.710]]}


{"formula": "TbGdZnNi", "functional": "PBE-GGA", "state": "relaxed", "sg": "F-43m", "total_magnetization_mub_per_atom": 1.77, "volume_a3_per_atom": 21.4, "ef_ev_per_atom": -0.325, "lattice_angstrom": [[4.947, 0.000, 0.000], [2.474, 4.284, 0.000], [2.474, 1.428, 4.039]], "species": ["Zn", "Ni", "Gd", "Tb"], "frac_coords": [[0.750, 0.750, 0.750], [0.250, 0.250, 0.250], [0.500, 0.500, 0.500], [0.000, 0.000, 0.000]]}


{"formula": "YTeRh", "functional": "PBE-GGA", "state": "relaxed", "sg": "I4mm", "total_magnetization_mub_per_atom": 0.00, "raw_formation_energy_ev_per_atom": -0.69, "volume_a3_per_atom": 23.0, "lattice_angstrom": [[5.313, 0.013, -0.015], [3.872, 3.637, -0.017], [1.440, 0.575, 3.579]], "species": ["Rh", "Y", "Te"], "frac_coords": [[0.025, 0.025, 0.975], [0.653, 0.653, 0.347], [0.321, 0.321, 0.679]]}


{"formula": "SrZr2Au", "functional": "PBE-GGA", "state": "relaxed", "e_above_lowest_polymorph_ev_per_atom": 0.299, "sg": "P2/m", "total_magnetization_mub_per_atom": 0.00, "volume_a3_per_atom": 25.1, "ef_ev_per_atom": 0.108, "lattice_angstrom": [[5.552, 0.000, 0.000], [0.000, 3.384, -0.008], [0.000, 0.526, 5.352]], "species": ["Sr", "Zr", "Zr", "Au"], "frac_coords": [[0.500, 0.750, 0.750], [0.000, 0.434, 0.475], [0.000, 0.066, 0.025], [0.500, 0.250, 0.250]]}


{"formula": "NbCrReC2", "functional": "PBE-GGA", "state": "relaxed", "sg": "P4/mmm", "total_magnetization_mub_per_atom": 0.00, "volume_a3_per_atom": 15.3, "ef_ev_per_atom": 2.594, "lattice_angstrom": [[4.011, 0.000, 0.000], [0.000, 4.746, 0.000], [0.000, 0.000, 4.011]], "species": ["Nb", "Cr", "Re", "C", "C"], "frac_coords": [[0.000, 0.000, 0.000], [0.000, 0.500, 0.000], [0.500, 0.500, 0.500], [0.500, 0.000, 0.000], [0.000, 0.000, 0.500]]}


{"formula": "Na2SrSbCl", "functional": "PBE-GGA", "state": "relaxed", "sg": "P4/mmm", "total_magnetization_mub_per_atom": 0.00, "raw_formation_energy_ev_per_atom": -1.03, "volume_a3_per_atom": 30.4, "lattice_angstrom": [[-3.995, 1.087, 3.012], [-1.193, -4.975, 0.213], [3.368, -0.607, 4.686]], "species": ["Sb", "Na", "Sr", "Cl", "Na"], "frac_coords": [[0.500, 0.500, 0.500], [0.500, 0.000, 0.000], [0.000, 0.000, 0.500], [0.000, 0.000, 0.000], [0.000, 0.500, 0.000]]}


{"formula": "RbLaBe3", "functional": "PBE-GGA", "state": "relaxed", "e_above_lowest_polymorph_ev_per_atom": 0.000, "sg": "Pm-3m", "total_magnetization_mub_per_atom": 0.00, "volume_a3_per_atom": 35.3, "ef_ev_per_atom": 1.499, "lattice_angstrom": [[5.609, 0.000, 0.000], [0.000, 5.609, 0.000], [0.000, 0.000, 5.609]], "species": ["Rb", "Be", "Be", "Be", "La"], "frac_coords": [[0.500, 0.500, 0.500], [0.000, 0.000, 0.500], [0.500, 0.000, 0.000], [0.000, 0.500, 0.000], [0.000, 0.000, 0.000]]}


{"formula": "KScAs", "functional": "PBE-GGA", "state": "relaxed", "sg": "F-43m", "total_magnetization_mub_per_atom": 0.00, "volume_a3_per_atom": 28.0, "ef_ev_per_atom": -0.235, "lattice_angstrom": [[-2.716, 1.988, -3.583], [-4.690, 1.205, 0.851], [-1.316, 4.730, 0.250]], "species": ["K", "As", "Sc"], "frac_coords": [[0.000, 0.000, 0.000], [0.750, 0.750, 0.750], [0.500, 0.500, 0.500]]}